Here is CsHfCuTeSe2 after structural relaxation from the Open Quantum Materials Database. Energies are from PBE.

```
data_CsHfCuTeSe2
_chemical_formula_sum 'Cs2 Hf2 Cu2 Te2 Se4'
_cell_length_a 9.330
_cell_length_b 4.033
_cell_length_c 10.337
_cell_angle_alpha 90.00
_cell_angle_beta 115.92
_cell_angle_gamma 90.00
_space_group_name_H-M_alt 'P 1 21/m 1'
_space_group_IT_number 11
_space_group_name_Hall '-P 2yb'
loop_
_atom_site_label
_atom_site_fract_x
_atom_site_fract_y
_atom_site_fract_z
Cs1 0.227 0.250 0.210
Hf1 0.186 0.750 0.664
Cu1 0.416 0.250 0.899
Te1 0.395 0.250 0.638
Se1 0.021 0.750 0.365
Se2 0.283 0.750 0.942
```

The value obtained for the polymorph energy (0 for the lowest one) is 0 meV/atom. As for the volume: 29.2 A^3/atom.


Here is CsHfCuTeSe2 after structural relaxation from the Open Quantum Materials Database. Energies are from PBE.

```
data_CsHfCuTeSe2
_chemical_formula_sum 'Cs2 Hf2 Cu2 Te2 Se4'
_cell_length_a 9.418
_cell_length_b 4.025
_cell_length_c 10.695
_cell_angle_alpha 90.00
_cell_angle_beta 115.51
_cell_angle_gamma 90.00
_space_group_name_H-M_alt 'P 1 21/m 1'
_space_group_IT_number 11
_space_group_name_Hall '-P 2yb'
loop_
_atom_site_label
_atom_site_fract_x
_atom_site_fract_y
_atom_site_fract_z
Cs1 0.052 0.250 0.289
Hf1 0.476 0.250 0.179
Cu1 0.485 0.750 0.402
Te1 0.322 0.250 0.866
Se1 0.280 0.750 0.162
Se2 0.342 0.750 0.557
```

The value obtained for the polymorph energy (0 for the lowest one) is 15 meV/atom. As for the volume: 30.5 A^3/atom.


Here is CsHfCu3Te4 after structural relaxation from the Open Quantum Materials Database. Energies are from PBE.

```
data_CsHfCu3Te4
_chemical_formula_sum 'Cs2 Hf2 Cu6 Te8'
_cell_length_a 6.228
_cell_length_b 8.256
_cell_length_c 10.898
_cell_angle_alpha 90.00
_cell_angle_beta 106.15
_cell_angle_gamma 90.00
_space_group_name_H-M_alt 'P 1 21/m 1'
_space_group_IT_number 11
_space_group_name_Hall '-P 2yb'
loop_
_atom_site_label
_atom_site_fract_x
_atom_site_fract_y
_atom_site_fract_z
Cs1 0.185 0.250 0.386
Hf1 0.147 0.250 0.795
Cu1 0.288 0.506 0.998
Cu2 0.339 0.750 0.188
Te1 0.023 0.250 0.019
Te2 0.221 0.750 0.404
Te3 0.403 0.517 0.783
```

The value obtained for the polymorph energy (0 for the lowest one) is 0 meV/atom. As for the volume: 29.9 A^3/atom.


Here is Cs3Hf2CuTe10 after structural relaxation from the Open Quantum Materials Database. Energies are from PBE.

```
data_Cs3Hf2CuTe10
_chemical_formula_sum 'Cs6 Hf4 Cu2 Te20'
_cell_length_a 10.157
_cell_length_b 11.199
_cell_length_c 11.396
_cell_angle_alpha 89.11
_cell_angle_beta 89.62
_cell_angle_gamma 78.22
_space_group_name_H-M_alt 'P -1'
_space_group_IT_number 2
_space_group_name_Hall '-P 1'
loop_
_atom_site_label
_atom_site_fract_x
_atom_site_fract_y
_atom_site_fract_z
Cs1 0.055 0.236 0.110
Cs2 0.200 0.375 0.604
Cs3 0.384 0.891 0.762
Hf1 0.192 0.841 0.357
Hf2 0.392 0.623 0.135
Cu1 0.420 0.376 0.057
Te1 0.026 0.090 0.805
Te2 0.091 0.754 0.570
Te3 0.108 0.642 0.209
Te4 0.169 0.087 0.430
Te5 0.286 0.884 0.108
Te6 0.307 0.410 0.260
Te7 0.342 0.559 0.898
Te8 0.421 0.636 0.391
Te9 0.428 0.205 0.906
Te10 0.457 0.878 0.432
```

As for the volume: 39.7 A^3/atom.


Here is CsHfCuTe3 after structural relaxation from the Open Quantum Materials Database. Energies are from PBE.

```
data_CsHfCuTe3
_chemical_formula_sum 'Cs4 Hf4 Cu4 Te12'
_cell_length_a 19.076
_cell_length_b 4.201
_cell_length_c 9.697
_cell_angle_alpha 90.00
_cell_angle_beta 94.27
_cell_angle_gamma 90.00
_space_group_name_H-M_alt 'C 1 2/m 1'
_space_group_IT_number 12
_space_group_name_Hall '-C 2y'
loop_
_atom_site_label
_atom_site_fract_x
_atom_site_fract_y
_atom_site_fract_z
Cs1 0.148 0.000 0.077
Hf1 0.154 0.000 0.570
Cu1 0.031 0.500 0.724
Te1 0.000 0.000 0.500
Te2 0.000 0.500 0.000
Te3 0.164 0.500 0.771
Te4 0.186 0.500 0.379
```

As for the volume: 32.3 A^3/atom.


Here is CsHfCu3Te4 after structural relaxation from the Open Quantum Materials Database. Energies are from PBE.

```
data_CsHfCu3Te4
_chemical_formula_sum 'Cs1 Hf1 Cu3 Te4'
_cell_length_a 6.833
_cell_length_b 6.833
_cell_length_c 6.833
_cell_angle_alpha 90.00
_cell_angle_beta 90.00
_cell_angle_gamma 90.00
_space_group_name_H-M_alt 'P -4 3 m'
_space_group_IT_number 215
_space_group_name_Hall 'P -4 2 3'
loop_
_atom_site_label
_atom_site_fract_x
_atom_site_fract_y
_atom_site_fract_z
Cs1 0.000 0.000 0.000
Hf1 0.500 0.500 0.500
Cu1 0.000 0.500 0.500
Te1 0.276 0.276 0.276
```

The value obtained for the polymorph energy (0 for the lowest one) is 243 meV/atom. As for the volume: 35.4 A^3/atom.


Number 1: electronic total energy -5.113 eV per atom. Number 2: electronic total energy -5.097 eV per atom. Number 3: electronic total energy -4.361 eV per atom. Number 4: electronic total energy -4.334 eV per atom. Number 5: electronic total energy -4.518 eV per atom. Number 6: electronic total energy -4.118 eV per atom.